1:
Compound: IrOF3
Source: the Alexandria database
Functional: PBE-GGA
Structure: relaxed

Computed properties:
V	59.3	Å³/f.u.
space-group type	Pm-3m (221)

Lattice parameters (Å, degrees): 3.8991 3.8991 3.8991 90.00 90.00 90.00
Fractional coordinates of all 5 atoms:
F  0.0000  0.0000  0.5000
F  0.0000  0.5000  0.0000
F  0.5000  0.0000  0.0000
Ir  0.5000  0.5000  0.5000
O  0.0000  0.0000  0.0000

***

2:
Compound: IrOF3
Source: the Alexandria database
Functional: PBE-GGA
Structure: relaxed

Computed properties:
V	74.2	Å³/f.u.
space-group type	C2/m (12)

Lattice parameters (Å, degrees): 6.2099 5.8719 6.1248 58.13 90.00 121.92
Fractional coordinates of all 10 atoms:
F  0.7131  0.9898  0.7563
F  0.7161  0.4955  0.2153
F  0.2206  0.5045  0.7847
F  0.7233  0.0102  0.2437
F  0.2235  0.0102  0.2437
F  0.2133  0.9898  0.7563
Ir  0.4683  0.5000  0.0000
Ir  0.9683  0.5000  0.0000
O  0.7203  0.5040  0.8122
O  0.2163  0.4960  0.1878

***

The most stable of them is 2.

***

1:
Compound: IrO2F2
Source: the Alexandria database
Functional: PBE-GGA
Structure: relaxed

Computed properties:
V	54.6	Å³/f.u.
space-group type	P4/mmm (123)

Lattice parameters (Å, degrees): 3.8662 3.8662 3.6495 90.00 90.00 90.00
Fractional coordinates of all 5 atoms:
F  0.5000  0.0000  0.0000
F  0.0000  0.5000  0.0000
O  0.0000  0.0000  0.0000
O  0.0000  0.0000  0.5000
Ir  0.5000  0.5000  0.5000

***

2:
Compound: IrO2F2
Source: the Alexandria database
Functional: PBE-GGA
Structure: relaxed

Computed properties:
V	57.2	Å³/f.u.
space-group type	P4/mmm (123)

Lattice parameters (Å, degrees): 3.7357 3.7357 4.1020 90.00 90.00 90.00
Fractional coordinates of all 5 atoms:
F  0.5000  0.5000  0.5000
F  0.0000  0.0000  0.5000
Ir  0.0000  0.0000  0.0000
O  0.5000  0.0000  0.0000
O  0.0000  0.5000  0.0000

***

3:
Compound: IrO2F2
Source: the Alexandria database
Functional: PBE-GGA
Structure: relaxed

Computed properties:
V	55.3	Å³/f.u.
space-group type	P4/mmm (123)

Lattice parameters (Å, degrees): 3.5780 3.5780 4.3215 90.00 90.00 90.00
Fractional coordinates of all 5 atoms:
F  0.0000  0.0000  0.0000
F  0.0000  0.0000  0.5000
O  0.0000  0.5000  0.0000
O  0.5000  0.0000  0.0000
Ir  0.5000  0.5000  0.5000

***

The most stable of them is 2.